{
  "formula": "Pr3PuS6",
  "functional": "GGA-PBE",
  "state": "relaxed",
  "lattice_angstrom": [[11.3844, 0.0000, 0.0000], [0.0000, 4.1214, 0.0000], [-3.5535, 0.0000, 11.0813]],
  "species": ["Pr", "Pr", "Pr", "Pr", "Pr", "Pr", "Pu", "Pu", "S", "S", "S", "S", "S", "S", "S", "S", "S", "S", "S", "S"],
  "fractional_positions": [[0.0764, 0.2500, 0.1688], [0.1815, 0.7500, 0.5061], [0.3397, 0.2500, 0.9185], [0.6603, 0.7500, 0.0815], [0.8185, 0.2500, 0.4939], [0.9236, 0.7500, 0.8312], [0.4562, 0.2500, 0.3198], [0.5438, 0.7500, 0.6802], [0.0237, 0.2500, 0.3877], [0.0943, 0.2500, 0.9286], [0.2547, 0.7500, 0.2824], [0.3171, 0.7500, 0.7502], [0.3930, 0.2500, 0.5420], [0.4166, 0.7500, 0.1017], [0.5834, 0.2500, 0.8983], [0.6070, 0.7500, 0.4580], [0.6829, 0.2500, 0.2498], [0.7453, 0.2500, 0.7176], [0.9057, 0.7500, 0.0714], [0.9763, 0.7500, 0.6123]],
  "raw_formation_energy_kj_per_mol_fu": -1827,
  "crystal_system": "monoclinic",
  "dft_energy_ev_per_cell": -144.732,
  "density_g_cm3": 5.488
}

{
  "formula": "PrPu2ScS4",
  "functional": "GGA-PBE",
  "state": "relaxed",
  "lattice_angstrom": [[6.8240, 0.0000, 0.0000], [0.0000, 3.9225, 0.0000], [-2.2499, 0.0000, 6.4459]],
  "species": ["Pr", "Pu", "Pu", "Sc", "S", "S", "S", "S"],
  "fractional_positions": [[0.0000, 0.0000, 0.0000], [0.5000, 0.0000, 0.5000], [0.5000, 0.5000, 0.0000], [0.0000, 0.5000, 0.5000], [0.2416, 0.0000, 0.7328], [0.2529, 0.5000, 0.2656], [0.7471, 0.5000, 0.7344], [0.7584, 0.0000, 0.2672]],
  "raw_formation_energy_kj_per_mol_fu": -1415,
  "crystal_system": "monoclinic",
  "dft_energy_ev_per_cell": -70.950,
  "density_g_cm3": 7.720
}

{
  "formula": "Pr2PuScS4",
  "functional": "GGA-PBE",
  "state": "relaxed",
  "lattice_angstrom": [[6.8378, 0.0000, 0.0000], [0.0000, 3.9337, 0.0000], [-2.2505, 0.0000, 6.5669]],
  "species": ["Pr", "Pr", "Pu", "Sc", "S", "S", "S", "S"],
  "fractional_positions": [[0.0000, 0.0000, 0.0000], [0.5000, 0.5000, 0.0000], [0.0000, 0.5000, 0.5000], [0.5000, 0.0000, 0.5000], [0.2515, 0.0000, 0.7298], [0.2674, 0.5000, 0.2760], [0.7326, 0.5000, 0.7240], [0.7485, 0.0000, 0.2702]],
  "raw_formation_energy_kj_per_mol_fu": -1471,
  "crystal_system": "monoclinic",
  "dft_energy_ev_per_cell": -61.983,
  "density_g_cm3": 6.572
}

{
  "formula": "Pr4Pu3ScS8",
  "functional": "GGA-PBE",
  "state": "relaxed",
  "lattice_angstrom": [[3.9802, 2.2980, 6.5921], [-3.9802, 2.2980, 6.5921], [0.0000, -4.5960, 6.5921]],
  "species": ["Pr", "Pr", "Pr", "Pr", "Pu", "Pu", "Pu", "Sc", "S", "S", "S", "S", "S", "S", "S", "S"],
  "fractional_positions": [[0.0000, 0.0000, 0.0000], [0.0000, 0.5000, 0.5000], [0.5000, 0.0000, 0.5000], [0.5000, 0.5000, 0.0000], [0.0000, 0.0000, 0.5000], [0.0000, 0.5000, 0.0000], [0.5000, 0.0000, 0.0000], [0.5000, 0.5000, 0.5000], [0.2452, 0.2452, 0.2452], [0.2518, 0.7393, 0.7393], [0.2607, 0.2607, 0.7482], [0.2607, 0.7482, 0.2607], [0.7393, 0.2518, 0.7393], [0.7393, 0.7393, 0.2518], [0.7482, 0.2607, 0.2607], [0.7548, 0.7548, 0.7548]],
  "raw_formation_energy_kj_per_mol_fu": -2942,
  "crystal_system": "trigonal",
  "dft_energy_ev_per_cell": -131.954,
  "density_g_cm3": 7.331
}

{
  "formula": "Pr2Sm3PuS6",
  "functional": "GGA-PBE",
  "state": "relaxed",
  "lattice_angstrom": [[8.7942, -2.0071, 0.0000], [8.7942, 2.0071, 0.0000], [-1.8821, 0.0000, 7.8872]],
  "species": ["Pr", "Pr", "Sm", "Sm", "Sm", "Pu", "S", "S", "S", "S", "S", "S"],
  "fractional_positions": [[0.1652, 0.1652, 0.3311], [0.8348, 0.8348, 0.6689], [0.1674, 0.1674, 0.8357], [0.5000, 0.5000, 0.5000], [0.8326, 0.8326, 0.1643], [0.5000, 0.5000, 0.0000], [0.0026, 0.0026, 0.7544], [0.3348, 0.3348, 0.4115], [0.3347, 0.3347, 0.9226], [0.6653, 0.6653, 0.0774], [0.6652, 0.6652, 0.5885], [0.9974, 0.9974, 0.2456]],
  "raw_formation_energy_kj_per_mol_fu": -2307,
  "crystal_system": "monoclinic",
  "dft_energy_ev_per_cell": -86.728,
  "density_g_cm3": 6.973
}

{
  "formula": "Pr4SmPu3S8",
  "functional": "GGA-PBE",
  "state": "relaxed",
  "lattice_angstrom": [[4.0257, 2.3242, 6.6320], [-4.0257, 2.3242, 6.6320], [0.0000, -4.6484, 6.6320]],
  "species": ["Pr", "Pr", "Pr", "Pr", "Sm", "Pu", "Pu", "Pu", "S", "S", "S", "S", "S", "S", "S", "S"],
  "fractional_positions": [[0.0000, 0.0000, 0.0000], [0.0000, 0.5000, 0.5000], [0.5000, 0.0000, 0.5000], [0.5000, 0.5000, 0.0000], [0.5000, 0.5000, 0.5000], [0.0000, 0.0000, 0.5000], [0.0000, 0.5000, 0.0000], [0.5000, 0.0000, 0.0000], [0.2436, 0.7474, 0.7474], [0.2453, 0.2453, 0.2453], [0.2526, 0.2526, 0.7564], [0.2526, 0.7564, 0.2526], [0.7474, 0.2436, 0.7474], [0.7474, 0.7474, 0.2436], [0.7547, 0.7547, 0.7547], [0.7564, 0.2526, 0.2526]],
  "raw_formation_energy_kj_per_mol_fu": -2997,
  "crystal_system": "trigonal",
  "dft_energy_ev_per_cell": -130.913,
  "density_g_cm3": 7.593
}

{
  "formula": "Pr3Sm2PuS6",
  "functional": "GGA-PBE",
  "state": "relaxed",
  "lattice_angstrom": [[3.5000, -6.0641, 0.0000], [3.5000, 6.0641, 0.0000], [-2.3324, 0.0000, 6.6351]],
  "species": ["Pr", "Pr", "Pr", "Sm", "Sm", "Pu", "S", "S", "S", "S", "S", "S"],
  "fractional_positions": [[0.0000, 0.0000, 0.0000], [0.3312, 0.6688, 0.0000], [0.6688, 0.3312, 0.0000], [0.1671, 0.8329, 0.5000], [0.8329, 0.1671, 0.5000], [0.5000, 0.5000, 0.5000], [0.0900, 0.4201, 0.2603], [0.2501, 0.2501, 0.7408], [0.4201, 0.0900, 0.2603], [0.5799, 0.9100, 0.7397], [0.7499, 0.7499, 0.2592], [0.9100, 0.5799, 0.7397]],
  "raw_formation_energy_kj_per_mol_fu": -2305,
  "crystal_system": "monoclinic",
  "dft_energy_ev_per_cell": -86.764,
  "density_g_cm3": 6.838
}

{
  "formula": "PrSmPu2S4",
  "functional": "GGA-PBE",
  "state": "relaxed",
  "lattice_angstrom": [[6.9299, 0.0000, 0.0000], [0.0000, 3.9979, 0.0000], [-2.3058, 0.0000, 6.5655]],
  "species": ["Pr", "Sm", "Pu", "Pu", "S", "S", "S", "S"],
  "fractional_positions": [[0.0000, 0.0000, 0.0000], [0.5000, 0.5000, 0.0000], [0.0000, 0.5000, 0.5000], [0.5000, 0.0000, 0.5000], [0.2510, 0.0000, 0.7420], [0.2572, 0.5000, 0.2610], [0.7428, 0.5000, 0.7390], [0.7490, 0.0000, 0.2580]],
  "raw_formation_energy_kj_per_mol_fu": -1475,
  "crystal_system": "monoclinic",
  "dft_energy_ev_per_cell": -69.957,
  "density_g_cm3": 8.285
}

{
  "formula": "Pr3Sm4PuS8",
  "functional": "GGA-PBE",
  "state": "relaxed",
  "lattice_angstrom": [[4.0404, 2.3328, 6.5989], [-4.0404, 2.3328, 6.5989], [0.0000, -4.6655, 6.5989]],
  "species": ["Pr", "Pr", "Pr", "Sm", "Sm", "Sm", "Sm", "Pu", "S", "S", "S", "S", "S", "S", "S", "S"],
  "fractional_positions": [[0.0000, 0.5000, 0.5000], [0.5000, 0.0000, 0.5000], [0.5000, 0.5000, 0.0000], [0.0000, 0.0000, 0.5000], [0.0000, 0.5000, 0.0000], [0.5000, 0.0000, 0.0000], [0.5000, 0.5000, 0.5000], [0.0000, 0.0000, 0.0000], [0.2427, 0.7517, 0.7517], [0.2471, 0.2471, 0.2471], [0.2483, 0.2483, 0.7573], [0.2483, 0.7573, 0.2483], [0.7517, 0.2427, 0.7517], [0.7517, 0.7517, 0.2427], [0.7529, 0.7529, 0.7529], [0.7573, 0.2483, 0.2483]],
  "raw_formation_energy_kj_per_mol_fu": -3082,
  "crystal_system": "trigonal",
  "dft_energy_ev_per_cell": -112.511,
  "density_g_cm3": 6.784
}

{
  "formula": "TbPr3Pu2S6",
  "functional": "GGA-PBE",
  "state": "relaxed",
  "lattice_angstrom": [[3.4754, -6.0203, 0.0000], [3.4754, 6.0203, 0.0000], [-2.3131, 0.0000, 6.6199]],
  "species": ["Tb", "Pr", "Pr", "Pr", "Pu", "Pu", "S", "S", "S", "S", "S", "S"],
  "fractional_positions": [[0.0000, 0.0000, 0.0000], [0.1670, 0.8330, 0.5000], [0.5000, 0.5000, 0.5000], [0.8330, 0.1670, 0.5000], [0.3335, 0.6665, 0.0000], [0.6665, 0.3335, 0.0000], [0.0786, 0.4116, 0.2356], [0.2540, 0.2540, 0.7631], [0.4116, 0.0786, 0.2356], [0.5884, 0.9214, 0.7644], [0.7460, 0.7460, 0.2369], [0.9214, 0.5884, 0.7644]],
  "raw_formation_energy_kj_per_mol_fu": -2258,
  "crystal_system": "monoclinic",
  "dft_energy_ev_per_cell": -95.796,
  "density_g_cm3": 7.565
}

{
  "formula": "Tb2Pr3PuS6",
  "functional": "GGA-PBE",
  "state": "relaxed",
  "lattice_angstrom": [[3.4687, -6.0112, 0.0000], [3.4687, 6.0112, 0.0000], [-2.3151, 0.0000, 6.6173]],
  "species": ["Tb", "Tb", "Pr", "Pr", "Pr", "Pu", "S", "S", "S", "S", "S", "S"],
  "fractional_positions": [[0.1671, 0.8329, 0.0000], [0.8329, 0.1671, 0.0000], [0.0000, 0.0000, 0.5000], [0.3329, 0.6671, 0.5000], [0.6671, 0.3329, 0.5000], [0.5000, 0.5000, 0.0000], [0.0872, 0.4216, 0.7648], [0.2438, 0.2438, 0.2347], [0.4216, 0.0872, 0.7648], [0.5784, 0.9128, 0.2352], [0.7562, 0.7562, 0.7653], [0.9128, 0.5784, 0.2352]],
  "raw_formation_energy_kj_per_mol_fu": -2302,
  "crystal_system": "monoclinic",
  "dft_energy_ev_per_cell": -86.552,
  "density_g_cm3": 7.082
}

{
  "formula": "Tb3Pr3PuS8",
  "functional": "GGA-PBE",
  "state": "relaxed",
  "lattice_angstrom": [[3.9907, 2.3041, 6.6073], [-3.9907, 2.3041, 6.6073], [0.0000, -4.6081, 6.6073]],
  "species": ["Tb", "Tb", "Tb", "Pr", "Pr", "Pr", "Pu", "S", "S", "S", "S", "S", "S", "S", "S"],
  "fractional_positions": [[0.0000, 0.5000, 0.5000], [0.5000, 0.0000, 0.5000], [0.5000, 0.5000, 0.0000], [0.0000, 0.0000, 0.5000], [0.0000, 0.5000, 0.0000], [0.5000, 0.0000, 0.0000], [0.0000, 0.0000, 0.0000], [0.2482, 0.2482, 0.7415], [0.2482, 0.7415, 0.2482], [0.2550, 0.2550, 0.2550], [0.2585, 0.7518, 0.7518], [0.7415, 0.2482, 0.2482], [0.7450, 0.7450, 0.7450], [0.7518, 0.2585, 0.7518], [0.7518, 0.7518, 0.2585]],
  "raw_formation_energy_kj_per_mol_fu": -2896,
  "crystal_system": "trigonal",
  "dft_energy_ev_per_cell": -105.591,
  "density_g_cm3": 6.378
}

{
  "formula": "Tb3Pr2PuS6",
  "functional": "GGA-PBE",
  "state": "relaxed",
  "lattice_angstrom": [[8.7206, -1.9818, 0.0000], [8.7206, 1.9818, 0.0000], [-1.9268, 0.0000, 7.8139]],
  "species": ["Tb", "Tb", "Tb", "Pr", "Pr", "Pu", "S", "S", "S", "S", "S", "S"],
  "fractional_positions": [[0.0000, 0.0000, 0.0000], [0.3327, 0.3327, 0.6640], [0.6673, 0.6673, 0.3360], [0.3345, 0.3345, 0.1683], [0.6655, 0.6655, 0.8317], [0.0000, 0.0000, 0.5000], [0.1634, 0.1634, 0.0930], [0.1671, 0.1671, 0.5737], [0.4960, 0.4960, 0.7500], [0.5040, 0.5040, 0.2500], [0.8329, 0.8329, 0.4263], [0.8366, 0.8366, 0.9070]],
  "raw_formation_energy_kj_per_mol_fu": -2304,
  "crystal_system": "monoclinic",
  "dft_energy_ev_per_cell": -86.421,
  "density_g_cm3": 7.347
}

{
  "formula": "Tb4PrPu3S8",
  "functional": "GGA-PBE",
  "state": "relaxed",
  "lattice_angstrom": [[3.9525, 2.2820, 6.4994], [-3.9525, 2.2820, 6.4994], [0.0000, -4.5640, 6.4994]],
  "species": ["Tb", "Tb", "Tb", "Tb", "Pr", "Pu", "Pu", "Pu", "S", "S", "S", "S", "S", "S", "S", "S"],
  "fractional_positions": [[0.0000, 0.0000, 0.0000], [0.0000, 0.5000, 0.5000], [0.5000, 0.0000, 0.5000], [0.5000, 0.5000, 0.0000], [0.5000, 0.5000, 0.5000], [0.0000, 0.0000, 0.5000], [0.0000, 0.5000, 0.0000], [0.5000, 0.0000, 0.0000], [0.2451, 0.2451, 0.7532], [0.2451, 0.7532, 0.2451], [0.2468, 0.7549, 0.7549], [0.2505, 0.2505, 0.2505], [0.7495, 0.7495, 0.7495], [0.7532, 0.2451, 0.2451], [0.7549, 0.2468, 0.7549], [0.7549, 0.7549, 0.2468]],
  "raw_formation_energy_kj_per_mol_fu": -2997,
  "crystal_system": "trigonal",
  "dft_energy_ev_per_cell": -130.376,
  "density_g_cm3": 8.333
}

{
  "formula": "Tb2PrPuS4",
  "functional": "GGA-PBE",
  "state": "relaxed",
  "lattice_angstrom": [[6.9006, 0.0000, 0.0000], [0.0000, 3.9614, 0.0000], [-2.2693, 0.0000, 6.5319]],
  "species": ["Tb", "Tb", "Pr", "Pu", "S", "S", "S", "S"],
  "fractional_positions": [[0.0000, 0.0000, 0.0000], [0.5000, 0.5000, 0.0000], [0.0000, 0.5000, 0.5000], [0.5000, 0.0000, 0.5000], [0.2531, 0.5000, 0.2434], [0.2591, 0.0000, 0.7612], [0.7409, 0.0000, 0.2388], [0.7469, 0.5000, 0.7566]],
  "raw_formation_energy_kj_per_mol_fu": -1519,
  "crystal_system": "monoclinic",
  "dft_energy_ev_per_cell": -60.623,
  "density_g_cm3": 7.728
}

{
  "formula": "PrPuTe2S",
  "functional": "GGA-PBE",
  "state": "relaxed",
  "lattice_angstrom": [[4.4626, 0.0000, 0.0000], [0.0000, 4.4626, 0.0000], [0.0000, 0.0000, 16.0048]],
  "species": ["Pr", "Pr", "Pu", "Pu", "Te", "Te", "Te", "Te", "S", "S"],
  "fractional_positions": [[0.2500, 0.2500, 0.1189], [0.7500, 0.7500, 0.8811], [0.2500, 0.2500, 0.5968], [0.7500, 0.7500, 0.4032], [0.2500, 0.2500, 0.3098], [0.2500, 0.2500, 0.9069], [0.7500, 0.7500, 0.0931], [0.7500, 0.7500, 0.6902], [0.2500, 0.7500, 0.5000], [0.7500, 0.2500, 0.5000]],
  "raw_formation_energy_kj_per_mol_fu": -644,
  "crystal_system": "tetragonal",
  "dft_energy_ev_per_cell": -72.401,
  "density_g_cm3": 7.004
}

{
  "formula": "PrPuTeS",
  "functional": "GGA-PBE",
  "state": "relaxed",
  "lattice_angstrom": [[2.0941, 1.2090, 7.1681], [-2.0941, 1.2090, 7.1681], [0.0000, -2.4181, 7.1681]],
  "species": ["Pr", "Pu", "Te", "S"],
  "fractional_positions": [[0.0000, 0.0000, 0.0000], [0.4756, 0.4756, 0.4756], [0.2352, 0.2352, 0.2352], [0.7420, 0.7420, 0.7420]],
  "raw_formation_energy_kj_per_mol_fu": -608,
  "crystal_system": "trigonal",
  "dft_energy_ev_per_cell": -32.680,
  "density_g_cm3": 8.304
}

{
  "formula": "Pr4PuTh3S8",
  "functional": "GGA-PBE",
  "state": "relaxed",
  "lattice_angstrom": [[4.0519, 2.3394, 6.6701], [-4.0519, 2.3394, 6.6701], [0.0000, -4.6788, 6.6701]],
  "species": ["Pr", "Pr", "Pr", "Pr", "Pu", "Th", "Th", "Th", "S", "S", "S", "S", "S", "S", "S", "S"],
  "fractional_positions": [[0.0000, 0.0000, 0.0000], [0.0000, 0.5000, 0.5000], [0.5000, 0.0000, 0.5000], [0.5000, 0.5000, 0.0000], [0.5000, 0.5000, 0.5000], [0.0000, 0.0000, 0.5000], [0.0000, 0.5000, 0.0000], [0.5000, 0.0000, 0.0000], [0.2489, 0.2489, 0.2489], [0.2509, 0.7461, 0.7461], [0.2539, 0.2539, 0.7491], [0.2539, 0.7491, 0.2539], [0.7461, 0.2509, 0.7461], [0.7461, 0.7461, 0.2509], [0.7491, 0.2539, 0.2539], [0.7511, 0.7511, 0.7511]],
  "raw_formation_energy_kj_per_mol_fu": -2965,
  "crystal_system": "trigonal",
  "dft_energy_ev_per_cell": -119.459,
  "density_g_cm3": 7.705
}

{
  "formula": "Pr2PuThS4",
  "functional": "GGA-PBE",
  "state": "relaxed",
  "lattice_angstrom": [[7.0289, 0.0000, 0.0000], [0.0000, 4.0406, 0.0000], [-2.3277, 0.0000, 6.6326]],
  "species": ["Pr", "Pr", "Pu", "Th", "S", "S", "S", "S"],
  "fractional_positions": [[0.0000, 0.0000, 0.0000], [0.0000, 0.5000, 0.5000], [0.5000, 0.0000, 0.5000], [0.5000, 0.5000, 0.0000], [0.2573, 0.0000, 0.7489], [0.2611, 0.5000, 0.2572], [0.7389, 0.5000, 0.7428], [0.7427, 0.0000, 0.2511]],
  "raw_formation_energy_kj_per_mol_fu": -1478,
  "crystal_system": "monoclinic",
  "dft_energy_ev_per_cell": -63.139,
  "density_g_cm3": 7.811
}

{
  "formula": "PrPu2ThS4",
  "functional": "GGA-PBE",
  "state": "relaxed",
  "lattice_angstrom": [[6.9348, 0.0000, 0.0000], [0.0000, 3.9900, 0.0000], [-2.2983, 0.0000, 6.5914]],
  "species": ["Pr", "Pu", "Pu", "Th", "S", "S", "S", "S"],
  "fractional_positions": [[0.0000, 0.0000, 0.0000], [0.0000, 0.5000, 0.5000], [0.5000, 0.0000, 0.5000], [0.5000, 0.5000, 0.0000], [0.2478, 0.0000, 0.7384], [0.2564, 0.5000, 0.2625], [0.7436, 0.5000, 0.7375], [0.7522, 0.0000, 0.2616]],
  "raw_formation_energy_kj_per_mol_fu": -1437,
  "crystal_system": "monoclinic",
  "dft_energy_ev_per_cell": -72.268,
  "density_g_cm3": 9.006
}